No. 1
This record from Alexandria describes a crystal of Li5Hg4 relaxed with PBEsol. The functional is SCAN.

Cell and atoms, written as POSCAR:
```
Li5Hg4
1.0
-4.3495 4.3495 2.1250
4.3495 -4.3495 2.1250
4.3495 4.3495 -2.1250
Li Hg
5 4
Cartesian
0.0000 0.0000 0.0000
2.8511 2.8511 0.0000
1.4984 -1.4984 2.1250
-1.4984 1.4984 2.1250
1.4984 1.4984 2.1250
2.7265 0.0000 0.0000
5.9725 0.0000 0.0000
0.0000 2.7265 0.0000
0.0000 5.9725 0.0000
```

Computed properties:
space-group type = No. 139
VASP energy = -288.08 eV/cell
E_form = -0.385 eV per atom
N(E_F) = 2.87 states/eV/cell



No. 2
This record from Alexandria describes a crystal of Li4Hg3 relaxed with PBEsol. The functional is SCAN.

Cell and atoms, written as POSCAR:
```
Li4Hg3
1.0
-1.7218 1.7218 10.5241
1.7218 -1.7218 10.5241
1.7218 1.7218 -10.5241
Li Hg
4 3
Cartesian
0.0000 0.0000 1.4276
0.0000 0.0000 7.4934
0.0000 0.0000 13.5548
0.0000 0.0000 19.6207
0.0000 0.0000 4.2690
0.0000 0.0000 10.5241
0.0000 0.0000 16.7793
```

Computed properties:
space-group type = No. 139
VASP energy = -216.75 eV/cell
E_form = -0.385 eV per atom
N(E_F) = 2.36 states/eV/cell



No. 3
This record from Alexandria describes a crystal of LiHg2 relaxed with PBEsol. The functional is SCAN.

Cell and atoms, written as POSCAR:
```
LiHg2
1.0
1.6823 -7.2502 0.0000
1.6823 7.2502 0.0000
0.0000 0.0000 4.9637
Li Hg
2 4
Cartesian
1.6823 4.0294 3.7228
1.6823 -4.0294 1.2409
1.6823 5.4179 1.2409
1.6823 0.9387 1.2409
1.6823 -0.9387 3.7228
1.6823 -5.4179 3.7228
```

Computed properties:
space-group type = No. 63
VASP energy = -279.03 eV/cell
E_form = -0.264 eV per atom
N(E_F) = 1.90 states/eV/cell



No. 4
This record from Alexandria describes a crystal of LiHg2 relaxed with PBEsol. The functional is SCAN.

Cell and atoms, written as POSCAR:
```
LiHg2
1.0
4.8656 0.0000 0.0000
-2.4328 4.2137 0.0000
0.0000 0.0000 3.0376
Li Hg
1 2
Cartesian
0.0000 0.0000 0.0000
0.0000 2.8092 1.5188
2.4328 1.4046 1.5188
```

Computed properties:
space-group type = No. 191
VASP energy = -139.59 eV/cell
E_form = -0.291 eV per atom
N(E_F) = 0.93 states/eV/cell



No. 5
This record from Alexandria describes a crystal of Li8Hg relaxed with PBEsol. The functional is SCAN.

Cell and atoms, written as POSCAR:
```
Li8Hg
1.0
-4.3785 4.3785 2.1542
4.3785 -4.3785 2.1542
4.3785 4.3785 -2.1542
Li Hg
8 1
Cartesian
2.8494 0.0000 0.0000
5.9075 0.0000 0.0000
0.0000 2.8494 0.0000
2.9920 2.9920 0.0000
1.3864 -1.3864 2.1542
-1.3864 1.3864 2.1542
1.3864 1.3864 2.1542
0.0000 5.9075 0.0000
0.0000 0.0000 0.0000
```

Computed properties:
space-group type = No. 139
VASP energy = -88.85 eV/cell
E_form = -0.174 eV per atom
N(E_F) = 3.23 states/eV/cell



No. 6
This record from Alexandria describes a crystal of Li2Hg3 relaxed with PBEsol. The functional is SCAN.

Cell and atoms, written as POSCAR:
```
Li2Hg3
1.0
4.5160 0.0000 0.0000
-2.2580 3.9110 0.0000
0.0000 0.0000 5.5569
Li Hg
2 3
Cartesian
0.0000 2.6073 1.8874
2.2580 1.3037 3.6695
0.0000 0.0000 2.7785
0.0000 2.6073 4.7112
2.2580 1.3037 0.8457
```

Computed properties:
space-group type = No. 164
polymorph energy (0 for the lowest one) = 0.000 eV/atom
VASP energy = -210.95 eV/cell
E_form = -0.334 eV per atom
N(E_F) = 1.66 states/eV/cell



No. 7
This record from Alexandria describes a crystal of Li2MgHg2 relaxed with PBEsol. The functional is SCAN.

Cell and atoms, written as POSCAR:
```
Li2MgHg2
1.0
7.5977 0.0000 0.0000
0.0000 7.5977 0.0000
0.0000 0.0000 3.2464
Li Mg Hg
4 2 4
Cartesian
1.1833 2.6156 0.0000
2.6156 6.4144 0.0000
4.9822 1.1833 0.0000
6.4144 4.9822 0.0000
0.0000 0.0000 1.6232
3.7989 3.7989 1.6232
1.0727 4.8716 1.6232
2.7261 1.0727 1.6232
4.8716 6.5250 1.6232
6.5250 2.7261 1.6232
```

Computed properties:
space-group type = No. 127
VASP energy = -296.14 eV/cell
E_form = -0.397 eV per atom
N(E_F) = 3.29 states/eV/cell



No. 8
This record from Alexandria describes a crystal of LiMg2ScHg relaxed with PBEsol. The functional is SCAN.

Cell and atoms, written as POSCAR:
```
LiMg2ScHg
1.0
5.0893 0.0000 0.0000
0.0000 5.0893 0.0000
0.0000 0.0000 4.7953
Li Mg Sc Hg
1 2 1 1
Cartesian
0.0000 0.0000 0.0000
0.0000 2.5447 2.3977
2.5447 0.0000 2.3977
2.5447 2.5447 0.0000
0.0000 0.0000 2.3977
```

Computed properties:
space-group type = No. 123
VASP energy = -94.19 eV/cell
E_form = 0.109 eV per atom
N(E_F) = 4.28 states/eV/cell